{
  "formula": "LiVOF3",
  "functional": "PBE with a Hubbard U",
  "state": "optimized geometry",
  "cell": [[-0.1742, -4.4153, -1.6073], [3.8542, 1.2379, -3.8180], [7.4047, -2.6952, 6.6010]],
  "species": ["F", "F", "F", "F", "F", "F", "F", "F", "F", "F", "F", "F", "V", "V", "V", "V", "O", "O", "O", "O", "Li", "Li", "Li", "Li"],
  "fractional_positions": [[0.3125, 0.2807, 0.0881], [0.6963, 0.7168, 0.9132], [0.3126, 0.7193, 0.5881], [0.2595, 0.0398, 0.3237], [0.1963, 0.7832, 0.0869], [0.8126, 0.2193, 0.9119], [0.7595, 0.4602, 0.6762], [0.7595, 0.5398, 0.1763], [0.6963, 0.2832, 0.4131], [0.2595, 0.9602, 0.8238], [0.1963, 0.2168, 0.5868], [0.8125, 0.7807, 0.4119], [0.4724, 0.3269, 0.2590], [0.9724, 0.8269, 0.2410], [0.9724, 0.1731, 0.7410], [0.4724, 0.6731, 0.7590], [0.7449, 0.0394, 0.1878], [0.2449, 0.5394, 0.3122], [0.7449, 0.9606, 0.6878], [0.2449, 0.4606, 0.8122], [0.5145, 0.9937, 0.5034], [0.5145, 0.0064, 0.0035], [0.0144, 0.4936, 0.9966], [0.0145, 0.5064, 0.4965]],
  "total_energy_ev_per_atom": -5.950,
  "n_ef_per_ev_cell": 0.000,
  "e_above_lowest_polymorph_mev_per_atom": 18.9,
  "sg": "Pna2_1"
}